The following is a DFT calculation (PBE) of a relaxed structure of Cs2ErCoS4.

Output
space-group type	Fddd, No. 70
energy relative to the elements, uncorrected	-1.060	eV per atom

abc: 14.934 13.360 7.909
angles: 85.11 63.05 31.85
Fractional positions:
Cs: 0.053 0.053 0.697
Cs: 0.303 0.303 0.947
Cs: 0.697 0.697 0.053
Cs: 0.947 0.947 0.303
Er: 0.125 0.125 0.125
Er: 0.875 0.875 0.875
Co: 0.375 0.375 0.375
Co: 0.625 0.625 0.625
S: 0.022 0.629 0.542
S: 0.307 0.542 0.629
S: 0.371 0.978 0.693
S: 0.458 0.693 0.978
S: 0.542 0.307 0.022
S: 0.629 0.022 0.307
S: 0.693 0.458 0.371
S: 0.978 0.371 0.458

***

The following is a DFT calculation (PBE) of a relaxed structure of La3TlRu.

Output
offset from the most stable computed form	0.0437	eV per atom
formation energy	-0.35	eV/atom
space-group type	P-1, No. 2

abc: 5.940 6.988 8.915
angles: 67.53 86.01 64.85
Fractional positions:
La: 0.062 0.265 0.399
La: 0.380 0.837 0.832
La: 0.395 0.707 0.274
La: 0.605 0.293 0.726
La: 0.620 0.163 0.168
La: 0.938 0.735 0.601
Tl: 0.083 0.272 0.967
Tl: 0.917 0.728 0.033
Ru: 0.424 0.807 0.535
Ru: 0.576 0.193 0.465

***

The following is a DFT calculation (PBE) of a relaxed structure of Pr6Au2O.

Output
space-group type	P2_1/c, No. 14
energy relative to the elements, uncorrected	-0.937	eV per atom

abc: 6.763 7.352 12.246
angles: 90.00 122.49 90.00
Fractional positions:
Pr: 0.111 0.022 0.241
Pr: 0.111 0.478 0.741
Pr: 0.228 0.701 0.056
Pr: 0.228 0.799 0.556
Pr: 0.369 0.187 0.053
Pr: 0.369 0.313 0.553
Pr: 0.631 0.687 0.447
Pr: 0.631 0.813 0.947
Pr: 0.772 0.201 0.444
Pr: 0.772 0.299 0.944
Pr: 0.889 0.522 0.259
Pr: 0.889 0.978 0.759
Au: 0.315 0.098 0.750
Au: 0.315 0.402 0.250
Au: 0.685 0.598 0.750
Au: 0.685 0.902 0.250
O: 0.000 0.000 0.000
O: 0.000 0.500 0.500

***

The following is a DFT calculation (PBE) of a relaxed structure of NiPd3Rh.

Output
offset from the most stable computed form	1.1801	eV per atom
formation energy	1.46	eV/atom
space-group type	Pm-3m, No. 221

abc: 4.772 4.772 4.772
angles: 90.00 90.00 90.00
Fractional positions:
Ni: 0.000 0.000 0.000
Pd: 0.000 0.500 0.500
Pd: 0.500 0.000 0.500
Pd: 0.500 0.500 0.000
Rh: 0.500 0.500 0.500

***

| no. | calculated volume (Å³/atom) | D(E_F) (states/eV/cell) |
| --- | --- | --- |
| 1 | 35.7 | 9.817 |
| 2 | 30.8 | 7.062 |
| 3 | 28.5 | 15.788 |
| 4 | 21.7 | 13.888 |